Entry from Alexandria via LeMat-Bulk: a geometry-optimized Nd2DyHo3 structure (PBE-GGA).

Unit cell a=3.589 b=11.481 c=15.360 alpha=38.85 beta=83.29 gamma=81.01
Fractional positions:
Dy (0.560, 0.791, 0.090)
Dy (0.440, 0.209, 0.910)
Ho (0.687, 0.708, 0.918)
Ho (0.313, 0.292, 0.082)
Ho (0.802, 0.000, 0.397)
Ho (0.942, 0.888, 0.228)
Ho (0.058, 0.112, 0.772)
Ho (0.198, 0.000, 0.603)
Nd (0.178, 0.404, 0.241)
Nd (0.428, 0.590, 0.554)
Nd (0.822, 0.596, 0.759)
Nd (0.572, 0.410, 0.446)

Entry from Alexandria via LeMat-Bulk: a geometry-optimized NdDy6Ho12 structure (PBE-GGA).

Unit cell a=8.492 b=8.492 c=8.492 alpha=88.45 beta=88.45 gamma=88.45
Fractional positions:
Ho (0.564, 0.227, 0.456)
Ho (0.009, 0.211, 0.355)
Ho (0.227, 0.456, 0.564)
Ho (0.456, 0.564, 0.227)
Ho (0.645, 0.991, 0.789)
Ho (0.355, 0.009, 0.211)
Ho (0.991, 0.789, 0.645)
Ho (0.773, 0.544, 0.436)
Ho (0.789, 0.645, 0.991)
Ho (0.211, 0.355, 0.009)
Ho (0.436, 0.773, 0.544)
Ho (0.544, 0.436, 0.773)
Nd (0.000, 0.000, 0.000)
Dy (0.687, 0.257, 0.092)
Dy (0.313, 0.743, 0.908)
Dy (0.257, 0.092, 0.687)
Dy (0.908, 0.313, 0.743)
Dy (0.092, 0.687, 0.257)
Dy (0.743, 0.908, 0.313)

Entry from Alexandria via LeMat-Bulk: a geometry-optimized Nd2Dy3Ho7 structure (PBE-GGA).

Unit cell a=3.601 b=5.678 c=19.087 alpha=98.55 beta=90.00 gamma=90.00
Fractional positions:
Ho (0.000, 0.769, 0.539)
Ho (0.000, 0.411, 0.821)
Ho (0.000, 0.589, 0.179)
Ho (0.500, 0.071, 0.142)
Ho (0.000, 0.000, 0.000)
Ho (0.000, 0.231, 0.461)
Ho (0.500, 0.929, 0.858)
Dy (0.500, 0.686, 0.372)
Dy (0.500, 0.314, 0.628)
Dy (0.500, 0.500, 0.000)
Nd (0.000, 0.147, 0.294)
Nd (0.000, 0.853, 0.706)

Entry from Alexandria via LeMat-Bulk: a geometry-optimized NdDy7Ho2 structure (PBE-GGA).

Unit cell a=6.154 b=9.390 c=9.395 alpha=141.79 beta=70.94 gamma=102.59
Fractional positions:
Dy (0.500, 0.500, 0.000)
Dy (0.999, 0.800, 0.200)
Dy (0.001, 0.200, 0.800)
Dy (0.500, 0.698, 0.799)
Dy (0.999, 0.399, 0.601)
Dy (0.500, 0.302, 0.201)
Dy (0.001, 0.601, 0.399)
Ho (0.498, 0.099, 0.401)
Ho (0.502, 0.901, 0.599)
Nd (0.000, 0.000, 0.000)

Entry from Alexandria via LeMat-Bulk: a geometry-optimized NdDy5Ho structure (PBE-GGA).

Unit cell a=5.777 b=7.882 c=7.882 alpha=66.59 beta=68.50 gamma=68.50
Fractional positions:
Dy (0.000, 0.500, 0.500)
Dy (0.747, 0.253, 0.253)
Dy (0.500, 0.821, 0.179)
Dy (0.500, 0.179, 0.821)
Dy (0.253, 0.747, 0.747)
Nd (0.000, 0.000, 0.000)
Ho (0.500, 0.500, 0.500)

Entry from Alexandria via LeMat-Bulk: a geometry-optimized Nd5Dy2Ho4 structure (PBE-GGA).

Unit cell a=3.528 b=9.150 c=12.757 alpha=111.02 beta=97.95 gamma=90.00
Fractional positions:
Ho (0.597, 0.597, 0.193)
Ho (0.403, 0.403, 0.807)
Ho (0.000, 0.687, 0.000)
Ho (0.000, 0.313, 0.000)
Nd (0.854, 0.652, 0.707)
Nd (0.500, 0.000, 0.000)
Nd (0.146, 0.348, 0.293)
Nd (0.854, 0.055, 0.707)
Nd (0.146, 0.945, 0.293)
Dy (0.270, 0.270, 0.539)
Dy (0.730, 0.730, 0.461)

Entry from Alexandria via LeMat-Bulk: a geometry-optimized Nd2Dy5Ho3 structure (PBE-GGA).

Unit cell a=9.384 b=9.425 c=11.132 alpha=125.15 beta=125.06 gamma=68.81
Fractional positions:
Nd (0.533, 0.268, 0.254)
Nd (0.779, 0.013, 0.746)
Nd (0.221, 0.987, 0.254)
Nd (0.467, 0.732, 0.746)
Dy (0.868, 0.612, 0.763)
Dy (0.605, 0.849, 0.237)
Dy (0.278, 0.528, 0.057)
Dy (0.981, 0.231, 0.463)
Dy (0.019, 0.769, 0.537)
Dy (0.722, 0.472, 0.943)
Dy (0.132, 0.388, 0.237)
Dy (0.476, 0.726, 0.451)
Dy (0.395, 0.151, 0.763)
Dy (0.524, 0.274, 0.549)
Ho (0.989, 0.221, 0.758)
Ho (0.773, 0.023, 0.045)
Ho (0.731, 0.463, 0.242)
Ho (0.227, 0.977, 0.955)
Ho (0.011, 0.779, 0.242)
Ho (0.269, 0.537, 0.758)

Entry from Alexandria via LeMat-Bulk: a geometry-optimized Nd3Dy3Ho structure (PBE-GGA).

Unit cell a=8.714 b=8.714 c=8.849 alpha=60.50 beta=60.50 gamma=60.00
Fractional positions:
Nd (0.063, 0.819, 0.823)
Nd (0.937, 0.181, 0.177)
Nd (0.705, 0.937, 0.177)
Nd (0.819, 0.295, 0.823)
Nd (0.181, 0.705, 0.177)
Nd (0.295, 0.063, 0.823)
Dy (0.570, 0.725, 0.642)
Dy (0.725, 0.063, 0.642)
Dy (0.063, 0.570, 0.642)
Dy (0.275, 0.937, 0.358)
Dy (0.937, 0.430, 0.358)
Dy (0.430, 0.275, 0.358)
Ho (0.349, 0.349, 0.954)
Ho (0.651, 0.651, 0.046)

Entry from Alexandria via LeMat-Bulk: a geometry-optimized Nd5Dy2Ho3 structure (PBE-GGA).

Unit cell a=10.976 b=9.962 c=9.962 alpha=56.53 beta=56.57 gamma=56.57
Fractional positions:
Dy (0.620, 0.969, 0.792)
Dy (0.120, 0.792, 0.969)
Dy (0.380, 0.031, 0.208)
Dy (0.880, 0.208, 0.031)
Nd (0.003, 0.247, 0.247)
Nd (0.750, 0.500, 0.500)
Nd (0.629, 0.267, 0.475)
Nd (0.503, 0.247, 0.247)
Nd (0.129, 0.475, 0.267)
Nd (0.997, 0.753, 0.753)
Nd (0.250, 0.500, 0.500)
Nd (0.497, 0.753, 0.753)
Nd (0.371, 0.733, 0.525)
Nd (0.871, 0.525, 0.733)
Ho (0.377, 0.375, 0.872)
Ho (0.250, 0.000, 0.000)
Ho (0.123, 0.128, 0.625)
Ho (0.877, 0.872, 0.375)
Ho (0.623, 0.625, 0.128)
Ho (0.750, 0.000, 0.000)

Entry from Alexandria via LeMat-Bulk: a geometry-optimized NdDy12Ho3 structure (PBE-GGA).

Unit cell a=5.016 b=5.016 c=20.057 alpha=90.00 beta=90.00 gamma=90.00
Fractional positions:
Dy (0.500, 0.000, 0.127)
Dy (0.500, 0.000, 0.376)
Dy (0.000, 0.500, 0.873)
Dy (0.500, 0.000, 0.873)
Dy (0.500, 0.500, 0.748)
Dy (0.500, 0.500, 0.252)
Dy (0.000, 0.500, 0.127)
Dy (0.500, 0.500, 0.000)
Dy (0.000, 0.500, 0.624)
Dy (0.500, 0.000, 0.624)
Dy (0.000, 0.500, 0.376)
Dy (0.500, 0.500, 0.500)
Ho (0.000, 0.000, 0.251)
Ho (0.000, 0.000, 0.500)
Ho (0.000, 0.000, 0.749)
Nd (0.000, 0.000, 0.000)

Entry from Alexandria via LeMat-Bulk: a geometry-optimized Nd2Dy5Ho2 structure (PBE-GGA).

Unit cell a=11.793 b=6.733 c=10.084 alpha=109.50 beta=125.78 gamma=90.00
Fractional positions:
Dy (0.408, 0.528, 0.286)
Dy (0.799, 0.760, 0.105)
Dy (0.201, 0.655, 0.895)
Dy (0.592, 0.242, 0.714)
Dy (0.805, 0.260, 0.105)
Dy (0.005, 0.659, 0.500)
Dy (0.378, 0.028, 0.286)
Dy (0.622, 0.742, 0.714)
Dy (0.195, 0.155, 0.895)
Dy (0.995, 0.159, 0.500)
Ho (0.739, 0.856, 0.500)
Ho (0.500, 0.518, 0.000)
Ho (0.261, 0.356, 0.500)
Ho (0.000, 0.018, 0.000)
Nd (0.372, 0.932, 0.746)
Nd (0.126, 0.686, 0.254)
Nd (0.628, 0.186, 0.254)
Nd (0.874, 0.432, 0.746)

Entry from Alexandria via LeMat-Bulk: a geometry-optimized Nd5Dy2Ho structure (PBE-GGA).

Unit cell a=14.463 b=14.463 c=9.360 alpha=63.38 beta=63.38 gamma=123.26
Fractional positions:
Nd (0.885, 0.052, 0.439)
Nd (0.136, 0.799, 0.439)
Nd (0.052, 0.885, 0.939)
Nd (0.638, 0.301, 0.436)
Nd (0.799, 0.136, 0.939)
Nd (0.553, 0.386, 0.936)
Nd (0.386, 0.553, 0.436)
Nd (0.676, 0.762, 0.438)
Nd (0.301, 0.638, 0.936)
Nd (0.762, 0.676, 0.938)
Dy (0.262, 0.176, 0.938)
Dy (0.510, 0.927, 0.937)
Dy (0.927, 0.510, 0.437)
Dy (0.176, 0.262, 0.438)
Ho (0.426, 0.011, 0.438)
Ho (0.011, 0.426, 0.938)

Entry from Alexandria via LeMat-Bulk: a geometry-optimized NdDy6Ho8 structure (PBE-GGA).

Unit cell a=9.003 b=9.003 c=8.587 alpha=58.39 beta=58.39 gamma=60.00
Fractional positions:
Ho (0.576, 0.576, 0.271)
Ho (0.279, 0.889, 0.575)
Ho (0.721, 0.111, 0.425)
Ho (0.743, 0.721, 0.425)
Ho (0.889, 0.257, 0.575)
Ho (0.424, 0.424, 0.729)
Ho (0.111, 0.743, 0.425)
Ho (0.257, 0.279, 0.575)
Dy (0.108, 0.231, 0.123)
Dy (0.892, 0.769, 0.877)
Dy (0.538, 0.108, 0.123)
Dy (0.462, 0.892, 0.877)
Dy (0.769, 0.462, 0.877)
Dy (0.231, 0.538, 0.123)
Nd (0.000, 0.000, 0.000)

Entry from Alexandria via LeMat-Bulk: a geometry-optimized Nd2Dy12Ho5 structure (PBE-GGA).

Unit cell a=6.737 b=12.952 c=12.310 alpha=139.45 beta=67.80 gamma=118.89
Fractional positions:
Dy (0.872, 0.032, 0.280)
Dy (0.613, 0.032, 0.806)
Dy (0.128, 0.968, 0.720)
Dy (0.387, 0.968, 0.194)
Dy (0.289, 0.611, 0.477)
Dy (0.711, 0.389, 0.523)
Dy (0.481, 0.387, 0.072)
Dy (0.074, 0.358, 0.945)
Dy (0.851, 0.593, 0.360)
Dy (0.149, 0.407, 0.640)
Dy (0.519, 0.613, 0.928)
Dy (0.926, 0.642, 0.055)
Ho (0.605, 0.749, 0.763)
Ho (0.395, 0.251, 0.237)
Ho (0.415, 0.781, 0.320)
Ho (0.000, 0.000, 0.500)
Ho (0.585, 0.219, 0.680)
Nd (0.914, 0.187, 0.116)
Nd (0.086, 0.813, 0.884)

Entry from Alexandria via LeMat-Bulk: a geometry-optimized NdDy2Ho8 structure (PBE-GGA).

Unit cell a=5.476 b=8.083 c=9.337 alpha=115.65 beta=107.02 gamma=90.00
Fractional positions:
Ho (0.163, 0.163, 0.326)
Ho (0.360, 0.153, 0.721)
Ho (0.000, 0.295, 0.000)
Ho (0.837, 0.837, 0.674)
Ho (0.640, 0.847, 0.279)
Ho (0.640, 0.433, 0.279)
Ho (0.360, 0.567, 0.721)
Ho (0.000, 0.705, 0.000)
Dy (0.801, 0.301, 0.601)
Dy (0.199, 0.699, 0.399)
Nd (0.500, 0.000, 0.000)

Entry from Alexandria via LeMat-Bulk: a geometry-optimized Nd5DyHo3 structure (PBE-GGA).

Unit cell a=6.294 b=10.975 c=11.795 alpha=124.98 beta=90.00 gamma=106.66
Fractional positions:
Nd (0.529, 0.727, 0.383)
Nd (0.646, 0.639, 0.970)
Nd (0.993, 0.639, 0.470)
Nd (0.471, 0.273, 0.617)
Nd (0.198, 0.727, 0.883)
Nd (0.802, 0.273, 0.117)
Nd (0.403, 0.000, 0.750)
Nd (0.007, 0.361, 0.530)
Nd (0.354, 0.361, 0.030)
Nd (0.597, 0.000, 0.250)
Ho (0.000, 0.000, 0.500)
Ho (0.000, 0.000, 0.000)
Ho (0.040, 0.646, 0.175)
Ho (0.960, 0.354, 0.825)
Ho (0.607, 0.646, 0.675)
Ho (0.393, 0.354, 0.325)
Dy (0.107, 0.000, 0.250)
Dy (0.893, 0.000, 0.750)

Entry from Alexandria via LeMat-Bulk: a geometry-optimized Nd2Dy3Ho9 structure (PBE-GGA).

Unit cell a=6.262 b=13.546 c=10.427 alpha=40.19 beta=56.31 gamma=54.63
Fractional positions:
Ho (0.786, 0.933, 0.453)
Ho (0.231, 0.111, 0.274)
Ho (0.409, 0.713, 0.958)
Ho (0.044, 0.480, 0.146)
Ho (0.015, 0.516, 0.802)
Ho (0.825, 0.915, 0.777)
Ho (0.188, 0.119, 0.631)
Ho (0.003, 0.509, 0.456)
Ho (0.707, 0.286, 0.955)
Nd (0.510, 0.272, 0.705)
Nd (0.405, 0.718, 0.291)
Dy (0.436, 0.700, 0.636)
Dy (0.617, 0.314, 0.295)
Dy (0.823, 0.916, 0.120)

Entry from Alexandria via LeMat-Bulk: a geometry-optimized Nd2DyHo5 structure (PBE-GGA).

Unit cell a=5.036 b=7.131 c=14.266 alpha=90.00 beta=90.00 gamma=90.00
Fractional positions:
Ho (0.500, 0.250, 0.375)
Ho (0.000, 0.500, 0.750)
Ho (0.000, 0.500, 0.500)
Ho (0.000, 0.000, 0.250)
Ho (0.000, 0.500, 0.250)
Ho (0.500, 0.250, 0.875)
Ho (0.500, 0.750, 0.125)
Ho (0.500, 0.750, 0.625)
Ho (0.000, 0.000, 0.750)
Ho (0.000, 0.000, 0.000)
Nd (0.500, 0.750, 0.375)
Nd (0.500, 0.250, 0.125)
Nd (0.500, 0.250, 0.625)
Nd (0.500, 0.750, 0.875)
Dy (0.000, 0.000, 0.500)
Dy (0.000, 0.500, 0.000)

The uncorrected energy results, record by record, are as follows: -55.35; -84.31; -54.03; -45.94; -24.65; -49.18; -88.65; -61.89; -86.09; -73.42; -79.54; -74.85; -67.00; -85.98; -49.33; -79.40; -63.13; -73.73 eV for the cell shown.